Material: Ac7La3Sm
Method: DFT, PBE
State: optimized geometry

Summary:
Energy of formation: 0.132 eV/atom
Symmetry: C2/m, No. 12
Polymorph energy (0 for the lowest one): 0.0 meV/atom
Calculated total energy: -4.26 eV/atom

a = 10.8619 Å, b = 10.8619 Å, c = 12.3482 Å
α = 90.13°, β = 90.13°, γ = 140.37°
Positions (direct):
Ac: 0.0891 0.4079 0.5428
Ac: 0.0909 0.4072 0.9630
Ac: 0.1524 0.3308 0.2528
Ac: 0.2570 0.2570 0.7506
Ac: 0.3308 0.1524 0.2528
Ac: 0.4072 0.0909 0.9630
Ac: 0.4079 0.0891 0.5428
Ac: 0.5921 0.9109 0.4572
Ac: 0.5928 0.9091 0.0370
Ac: 0.6692 0.8476 0.7472
Ac: 0.7430 0.7430 0.2494
Ac: 0.8476 0.6692 0.7472
Ac: 0.9091 0.5928 0.0370
Ac: 0.9109 0.5921 0.4572
La: 0.0000 0.0000 0.0000
La: 0.2498 0.7444 0.2442
La: 0.2556 0.7502 0.7558
La: 0.5000 0.5000 0.5000
La: 0.7444 0.2498 0.2442
La: 0.7502 0.2556 0.7558
Sm: 0.0000 0.0000 0.5000
Sm: 0.5000 0.5000 0.0000

---

Material: LaTb2Y5
Method: DFT, PBE
State: optimized geometry

Summary:
Energy of formation: 0.024 eV/atom
Symmetry: Pbam, No. 55
Polymorph energy (0 for the lowest one): 3.8 meV/atom
Calculated total energy: -5.79 eV/atom

a = 7.1917 Å, b = 14.3972 Å, c = 5.0665 Å
α = 90.00°, β = 90.00°, γ = 90.00°
Positions (direct):
La: 0.0000 0.0000 0.0000
La: 0.5000 0.5000 0.0000
Tb: 0.2504 0.1261 0.5000
Tb: 0.2496 0.6261 0.5000
Tb: 0.7504 0.3739 0.5000
Tb: 0.7496 0.8739 0.5000
Y: 0.9995 0.2517 0.0000
Y: 0.0000 0.5000 0.0000
Y: 0.0005 0.7483 0.0000
Y: 0.2494 0.3739 0.5000
Y: 0.2506 0.8739 0.5000
Y: 0.5000 0.0000 0.0000
Y: 0.4995 0.2483 0.0000
Y: 0.5005 0.7517 0.0000
Y: 0.7494 0.1261 0.5000
Y: 0.7506 0.6261 0.5000

---

Material: NaWI2
Method: DFT, PBE
State: optimized geometry

Summary:
Symmetry: Fm-3m, No. 225
Polymorph energy (0 for the lowest one): 85.7 meV/atom
Calculated total energy: -3.55 eV/atom

a = 5.0443 Å, b = 5.0443 Å, c = 5.0443 Å
α = 60.00°, β = 60.00°, γ = 60.00°
Positions (direct):
Na: 0.0000 0.0000 0.0000
W: 0.5000 0.5000 0.5000
I: 0.2500 0.2500 0.2500
I: 0.7500 0.7500 0.7500

---

Material: Tl2IrS2
Method: DFT, PBE
State: optimized geometry

Summary:
Symmetry: P4/mbm, No. 127
Calculated total energy: -4.34 eV/atom

a = 6.2917 Å, b = 6.2917 Å, c = 5.7227 Å
α = 90.00°, β = 90.00°, γ = 90.00°
Positions (direct):
Tl: 0.1858 0.3142 0.0000
Tl: 0.3142 0.8142 0.0000
Tl: 0.6858 0.1858 0.0000
Tl: 0.8142 0.6858 0.0000
Ir: 0.0000 0.0000 0.5000
Ir: 0.5000 0.5000 0.5000
S: 0.1619 0.6619 0.5000
S: 0.3381 0.1619 0.5000
S: 0.6619 0.8381 0.5000
S: 0.8381 0.3381 0.5000

---

Material: NaAgPd2
Method: DFT, PBE
State: optimized geometry

Summary:
Energy of formation: 0.189 eV/atom
Symmetry: I-42d, No. 122
Polymorph energy (0 for the lowest one): 234.1 meV/atom
Calculated total energy: -3.45 eV/atom

a = 10.1328 Å, b = 10.1328 Å, c = 10.1328 Å
α = 157.70°, β = 157.70°, γ = 31.74°
Positions (direct):
Na: 0.0000 0.0000 0.0000
Na: 0.7500 0.2500 0.5000
Ag: 0.2500 0.7500 0.5000
Ag: 0.5000 0.5000 0.0000
Pd: 0.1299 0.6250 0.0049
Pd: 0.3750 0.3799 0.5049
Pd: 0.6201 0.1250 0.9951
Pd: 0.8750 0.8701 0.4951

---

Material: Mg2ReRu
Method: DFT, PBE
State: optimized geometry

Summary:
Energy of formation: 0.299 eV/atom
Symmetry: P4/mmm, No. 123
Polymorph energy (0 for the lowest one): 286.5 meV/atom
Calculated total energy: -5.93 eV/atom

a = 2.6995 Å, b = 2.6995 Å, c = 8.7308 Å
α = 90.00°, β = 90.00°, γ = 90.00°
Positions (direct):
Mg: 0.0000 0.0000 0.2408
Mg: 0.0000 0.0000 0.7592
Re: 0.5000 0.5000 0.5000
Ru: 0.5000 0.5000 0.0000

---

Material: SrPRu
Method: DFT, PBE
State: optimized geometry

Summary:
Energy of formation: 1.133 eV/atom
Symmetry: F-43m, No. 216
Calculated total energy: -4.32 eV/atom

a = 4.7646 Å, b = 4.7646 Å, c = 4.7646 Å
α = 60.00°, β = 60.00°, γ = 60.00°
Positions (direct):
Sr: 0.0000 0.0000 0.0000
P: 0.7500 0.7500 0.7500
Ru: 0.2500 0.2500 0.2500

---

Material: CsKCd2Rh
Method: DFT, PBE
State: optimized geometry

Summary:
Energy of formation: 0.059 eV/atom
Symmetry: P4/mmm, No. 123
Calculated total energy: -2.17 eV/atom

a = 5.3924 Å, b = 5.3924 Å, c = 5.9770 Å
α = 90.00°, β = 90.00°, γ = 90.00°
Positions (direct):
Cs: 0.0000 0.0000 0.0000
K: 0.5000 0.5000 0.0000
Cd: 0.0000 0.5000 0.5000
Cd: 0.5000 0.0000 0.5000
Rh: 0.5000 0.5000 0.5000

---

Material: AgSnGePb
Method: DFT, PBE
State: optimized geometry

Summary:
Energy of formation: 0.185 eV/atom
Symmetry: F-43m, No. 216
Calculated total energy: -3.61 eV/atom

a = 5.1421 Å, b = 5.1421 Å, c = 5.1421 Å
α = 60.00°, β = 60.00°, γ = 60.00°
Positions (direct):
Ag: 0.0000 0.0000 0.0000
Sn: 0.2500 0.2500 0.2500
Ge: 0.5000 0.5000 0.5000
Pb: 0.7500 0.7500 0.7500

---

Material: TbPr2Cd
Method: DFT, PBE
State: optimized geometry

Summary:
Energy of formation: -0.048 eV/atom
Symmetry: R3m, No. 160
Polymorph energy (0 for the lowest one): 90.2 meV/atom
Calculated total energy: -3.82 eV/atom

a = 11.3326 Å, b = 11.3326 Å, c = 11.3326 Å
α = 18.67°, β = 18.67°, γ = 18.67°
Positions (direct):
Tb: 0.0000 0.0000 0.0000
Pr: 0.5790 0.5790 0.5790
Pr: 0.7549 0.7549 0.7549
Cd: 0.1670 0.1670 0.1670

---

Material: CsPaSe2O8
Method: DFT, PBE
State: optimized geometry

Summary:
Symmetry: P-3m1, No. 164
Calculated total energy: -6.30 eV/atom

a = 6.0676 Å, b = 6.0676 Å, c = 8.6168 Å
α = 90.00°, β = 90.00°, γ = 120.00°
Positions (direct):
Cs: 0.0000 0.0000 0.0000
Pa: 0.0000 0.0000 0.5000
Se: 0.3333 0.6667 0.2922
Se: 0.6667 0.3333 0.7078
O: 0.1621 0.3242 0.3434
O: 0.1621 0.8379 0.3434
O: 0.3242 0.1621 0.6566
O: 0.3333 0.6667 0.1015
O: 0.6667 0.3333 0.8985
O: 0.6758 0.8379 0.3434
O: 0.8379 0.1621 0.6566
O: 0.8379 0.6758 0.6566

---

Material: Co2HgTe
Method: DFT, PBE
State: optimized geometry

Summary:
Symmetry: Pm, No. 6
Polymorph energy (0 for the lowest one): 64.0 meV/atom
Calculated total energy: -4.07 eV/atom

a = 3.6757 Å, b = 3.9146 Å, c = 5.1684 Å
α = 90.00°, β = 110.73°, γ = 90.00°
Positions (direct):
Co: 0.0000 0.0000 0.0000
Co: 0.1408 0.5000 0.2810
Hg: 0.7175 0.0000 0.4345
Te: 0.4296 0.5000 0.8595

---

Number 1: theoretical density 7.71 g/cm3. Number 2: theoretical density 5.71 g/cm3. Number 3: theoretical density 8.43 g/cm3. Number 4: theoretical density 9.75 g/cm3. Number 5: theoretical density 7.63 g/cm3. Number 6: theoretical density 8.77 g/cm3. Number 7: theoretical density 4.77 g/cm3. Number 8: theoretical density 4.77 g/cm3. Number 9: theoretical density 8.75 g/cm3. Number 10: theoretical density 7.05 g/cm3. Number 11: theoretical density 3.93 g/cm3. Number 12: theoretical density 10.65 g/cm3.